Entry 1:
Here is a geometry-optimized UZnSb structure from Alexandria. Energies are from PBE.

DFT total energy = -33.01 eV per cell

```
UZnSb
1.0
4.8811 0.0000 0.0000
2.4405 4.6145 0.0000
2.4405 0.0000 5.9826
Zn U Sb
2 2 2
Direct
0.7500 0.5000 0.5000 Zn
0.2500 0.5000 0.5000 Zn
0.8164 0.3673 0.0000 U
0.1836 0.6327 0.0000 U
0.6247 0.0000 0.7507 Sb
0.3753 0.0000 0.2493 Sb
```

Entry 2:
Here is a geometry-optimized ReAg2Os structure from Alexandria. Energies are from PBE.

distance to the lowest polymorph of the same formula = 407 meV/atom
formation energy = 0.686 eV/atom

```
ReAg2Os
1.0
-1.9038 8.9173 -3.6182
-4.4953 8.1642 -3.0617
-2.9363 9.2963 -1.0918
Re Os Ag
1 1 2
Direct
0.7500 0.7500 0.7500 Re
0.2500 0.2500 0.2500 Os
0.0000 0.0000 0.0000 Ag
0.5000 0.5000 0.5000 Ag
```

Entry 3:
Here is a geometry-optimized Pa2Ga2Co3 structure from Alexandria. Energies are from PBE.

distance to the lowest polymorph of the same formula = 152 meV/atom
formation energy = -0.302 eV/atom

```
Pa2Ga2Co3
1.0
6.8248 0.0000 0.0000
-2.2749 6.4345 0.0000
-2.2749 -3.2173 5.5724
Pa Ga Co
4 4 6
Direct
0.0000 0.0000 0.4865 Pa
0.5000 0.4865 0.5000 Pa
0.5135 0.0135 0.0135 Pa
0.9865 0.5000 0.0000 Pa
0.0000 0.0000 0.9090 Ga
0.5000 0.9090 0.5000 Ga
0.0910 0.5910 0.5910 Ga
0.4090 0.5000 0.0000 Ga
0.7734 0.7500 0.0234 Co
0.7266 0.2500 0.4766 Co
0.9766 0.2266 0.2500 Co
0.5234 0.2734 0.7500 Co
0.2500 0.0234 0.2734 Co
0.7500 0.4766 0.2266 Co
```

Entry 4:
Here is a geometry-optimized BC3 structure from Alexandria. Energies are from PBE.

distance to the lowest polymorph of the same formula = 72 meV/atom
formation energy = 0.313 eV/atom

```
BC3
1.0
2.5193 0.0000 0.0000
0.0000 4.5532 -0.0561
0.0000 -0.0781 6.4713
B C
3 9
Direct
0.5000 0.5174 0.2271 B
0.5000 0.1770 0.9176 B
0.0000 0.3072 0.3499 B
0.5000 0.8394 0.3409 C
0.5000 0.5194 0.9860 C
0.0000 0.6717 0.6640 C
0.0000 0.3312 0.5938 C
0.0000 0.9760 0.2495 C
0.0000 0.9846 0.0130 C
0.0000 0.6750 0.9082 C
0.5000 0.1673 0.6672 C
0.5000 0.8340 0.5828 C
```

Entry 5:
Here is a geometry-optimized HfCu3O structure from Alexandria. Energies are from PBE.

distance to the lowest polymorph of the same formula = 1655 meV/atom

```
HfCu3O
1.0
-2.3565 4.2453 -0.5642
-3.2978 -2.2097 -2.8523
-2.7322 -0.9944 3.9294
Hf O Cu
1 1 3
Direct
0.0000 0.0000 0.0000 Hf
0.5000 0.5000 0.5000 O
0.0000 0.5000 0.0000 Cu
0.0000 0.0000 0.5000 Cu
0.5000 0.0000 0.0000 Cu
```

Entry 6:
Here is a geometry-optimized Tl2CoSe structure from Alexandria. Energies are from PBE.

distance to the lowest polymorph of the same formula = 523 meV/atom

```
Tl2CoSe
1.0
5.0576 0.0000 0.0000
2.5288 4.3800 0.0000
2.5288 1.4600 4.1295
Co Se Tl
1 1 2
Direct
0.5000 0.5000 0.5000 Co
0.7500 0.7500 0.7500 Se
0.0000 0.0000 0.0000 Tl
0.2500 0.2500 0.2500 Tl
```